No. 1
Below is crystalline Pa4P2CS at its relaxed geometry, with properties calculated at the PBE-GGA level.

abc: 6.718 3.817 6.725
angles: 90.00 108.89 90.00
Fractional coordinates of all 8 atoms:
Pa 0.228 0.000 0.228
Pa 0.238 0.500 0.761
Pa 0.762 0.500 0.239
Pa 0.772 0.000 0.772
P 0.500 0.000 0.000
P 0.500 0.500 0.500
C 0.000 0.500 0.000
S 0.000 0.000 0.500

## Properties
The total energy comes out at -8.93 eV/atom. The magnetic moment comes out at 0.000 μB/cell. As for the space-group type: No. 10. The formation energy from raw total energies comes out at -1.161 eV/atom.


No. 2
Below is crystalline ScPaPC at its relaxed geometry, with properties calculated at the PBE-GGA level.

abc: 6.363 6.363 6.363
angles: 33.68 33.68 33.68
Fractional coordinates of all 4 atoms:
Sc 0.000 0.000 0.000
Pa 0.520 0.520 0.520
P 0.753 0.753 0.753
C 0.254 0.254 0.254

## Properties
For the energy of formation from the pure elements, the calculation gives -21.22 kcal/mol of atoms. The total energy comes out at -8.54 eV/atom. The magnetic moment comes out at 0.000 μB/cell. As for the space-group type: No. 160.


No. 3
Below is crystalline Pa6PC2Se3 at its relaxed geometry, with properties calculated at the PBE-GGA level.

abc: 8.912 8.912 8.154
angles: 108.45 108.45 24.22
Fractional coordinates of all 12 atoms:
Pa 0.016 0.016 0.250
Pa 0.322 0.322 0.440
Pa 0.333 0.333 0.878
Pa 0.667 0.667 0.122
Pa 0.678 0.678 0.560
Pa 0.984 0.984 0.750
P 0.500 0.500 0.000
C 0.170 0.170 0.339
C 0.830 0.830 0.661
Se 0.161 0.161 0.835
Se 0.500 0.500 0.500
Se 0.839 0.839 0.165

## Properties
The total energy comes out at -8.63 eV/atom. The magnetic moment comes out at 0.000 μB/cell. As for the space-group type: No. 12. The formation energy from raw total energies comes out at -1.026 eV/atom.


No. 4
Below is crystalline PaTc2PC at its relaxed geometry, with properties calculated at the PBE-GGA level.

abc: 5.882 5.882 7.191
angles: 90.00 90.00 142.46
Fractional coordinates of all 10 atoms:
Pa 0.044 0.956 0.750
Pa 0.956 0.044 0.250
Tc 0.330 0.670 0.560
Tc 0.330 0.670 0.940
Tc 0.670 0.330 0.060
Tc 0.670 0.330 0.440
P 0.234 0.766 0.250
P 0.766 0.234 0.750
C 0.500 0.500 0.000
C 0.500 0.500 0.500

## Properties
For the energy of formation from the pure elements, the calculation gives -13.29 kcal/mol of atoms. The total energy comes out at -9.55 eV/atom. The magnetic moment comes out at 0.000 μB/cell. As for the space-group type: No. 63.


No. 5
Below is crystalline TmPaPC at its relaxed geometry, with properties calculated at the PBE-GGA level.

abc: 6.565 6.565 6.565
angles: 33.22 33.22 33.22
Fractional coordinates of all 4 atoms:
Tm 0.000 0.000 0.000
Pa 0.480 0.480 0.480
P 0.242 0.242 0.242
C 0.749 0.749 0.749

## Properties
For the energy of formation from the pure elements, the calculation gives -21.79 kcal/mol of atoms. The total energy comes out at -8.10 eV/atom. The magnetic moment comes out at 0.000 μB/cell. As for the space-group type: No. 160.


No. 6
Below is crystalline PPb3C at its relaxed geometry, with properties calculated at the PBE-GGA level.

abc: 4.998 4.998 4.998
angles: 90.00 90.00 90.00
Fractional coordinates of all 5 atoms:
P 0.000 0.000 0.000
Pb 0.000 0.500 0.500
Pb 0.500 0.000 0.500
Pb 0.500 0.500 0.000
C 0.500 0.500 0.500

## Properties
For the energy of formation from the pure elements, the calculation gives 23.33 kcal/mol of atoms. The total energy comes out at -4.14 eV/atom. The magnetic moment comes out at 0.000 μB/cell. The value obtained for the polymorph energy (0 for the lowest one) is 0 meV/atom. As for the space-group type: No. 221.


No. 7
Below is crystalline PPbC3 at its relaxed geometry, with properties calculated at the PBE-GGA level.

abc: 3.847 3.847 3.847
angles: 90.00 90.00 90.00
Fractional coordinates of all 5 atoms:
P 0.000 0.000 0.000
Pb 0.500 0.500 0.500
C 0.000 0.000 0.500
C 0.000 0.500 0.000
C 0.500 0.000 0.000

## Properties
For the energy of formation from the pure elements, the calculation gives 47.68 kcal/mol of atoms. The total energy comes out at -5.29 eV/atom. The magnetic moment comes out at 0.000 μB/cell. The value obtained for the polymorph energy (0 for the lowest one) is 0 meV/atom. As for the space-group type: No. 221.


No. 8
Below is crystalline PPbC3 at its relaxed geometry, with properties calculated at the PBE-GGA level.

abc: 4.457 4.457 4.457
angles: 90.00 90.00 90.00
Fractional coordinates of all 5 atoms:
P 0.000 0.000 0.000
Pb 0.500 0.500 0.500
C 0.000 0.500 0.500
C 0.500 0.000 0.500
C 0.500 0.500 0.000

## Properties
For the energy of formation from the pure elements, the calculation gives 84.76 kcal/mol of atoms. The total energy comes out at -3.68 eV/atom. The magnetic moment comes out at 1.942 μB/cell. The value obtained for the polymorph energy (0 for the lowest one) is 1608 meV/atom. As for the space-group type: No. 221.